1.
This record from Alexandria describes an optimized crystal structure of CeU2WC4. The functional is GGA-PBE.

Geometry as POSCAR:
```
CeU2WC4
1.0
-2.748 -1.975 1.093
4.095 -3.867 -2.480
5.112 -1.310 10.483
Ce U W C
2 4 2 8
Direct
0.116 0.233 0.750
0.884 0.767 0.250
0.372 0.744 0.545
0.628 0.256 0.045
0.628 0.256 0.455
0.372 0.744 0.955
0.855 0.709 0.750
0.145 0.291 0.250
0.259 0.518 0.117
0.741 0.482 0.617
0.741 0.482 0.883
0.259 0.518 0.383
0.000 0.000 0.500
0.000 0.000 0.000
0.450 0.901 0.750
0.550 0.099 0.250
```

Computed properties:
calculated formation energy: -1 meV/atom
total energy: -9.796 eV per atom

2.
This record from Alexandria describes an optimized crystal structure of AcPm3Ho3. The functional is GGA-PBE.

Geometry as POSCAR:
```
AcPm3Ho3
1.0
14.542 -3.193 -7.097
-7.725 8.662 -2.488
-2.764 0.069 11.544
Ac Pm Ho
4 12 12
Direct
0.021 0.731 0.041
0.182 0.196 0.196
0.849 0.064 0.064
0.021 0.041 0.731
0.337 0.746 0.342
0.693 0.431 0.016
0.528 0.578 0.195
0.517 0.993 0.779
0.528 0.195 0.578
0.517 0.779 0.993
0.882 0.656 0.452
0.346 0.565 0.565
0.692 0.216 0.216
0.337 0.342 0.746
0.693 0.016 0.431
0.882 0.452 0.656
0.637 0.777 0.583
0.385 0.167 0.968
0.019 0.505 0.281
0.198 0.947 0.507
0.839 0.836 0.242
0.839 0.242 0.836
0.198 0.507 0.947
0.385 0.968 0.167
0.637 0.583 0.777
0.019 0.281 0.505
0.201 0.723 0.723
0.616 0.462 0.462
```

Computed properties:
calculated formation energy: 119 meV/atom
excess energy over the best structure of this formula in the dataset: 0.080 eV/atom
total energy: -4.466 eV per atom

3.
This record from Alexandria describes an optimized crystal structure of La4PmTe6. The functional is GGA-PBE.

Geometry as POSCAR:
```
La4PmTe6
1.0
9.020 -0.115 0.040
-0.040 9.020 0.040
0.116 0.115 9.019
La Pm Te
8 2 12
Direct
0.359 0.141 0.250
0.859 0.250 0.359
0.250 0.641 0.141
0.250 0.250 0.750
0.750 0.750 0.250
0.750 0.359 0.859
0.141 0.750 0.641
0.641 0.859 0.750
0.500 0.500 0.500
0.000 0.000 0.000
0.675 0.060 0.084
0.084 0.325 0.060
0.584 0.440 0.175
0.940 0.084 0.675
0.560 0.175 0.584
0.175 0.416 0.440
0.825 0.584 0.560
0.440 0.825 0.416
0.060 0.916 0.325
0.416 0.560 0.825
0.916 0.675 0.940
0.325 0.940 0.916
```

Computed properties:
total energy: -5.408 eV per atom
formation energy without anion corrections: -16.18 eV/f.u.

4.
This record from Alexandria describes an optimized crystal structure of PmErSn. The functional is GGA-PBE.

Geometry as POSCAR:
```
PmErSn
1.0
4.452 0.174 -1.195
-0.493 4.428 -1.195
0.039 0.046 9.058
Pm Er Sn
2 2 2
Direct
0.324 0.324 0.648
0.676 0.676 0.352
0.500 0.000 0.000
0.000 0.500 0.000
0.867 0.867 0.734
0.133 0.133 0.266
```

Computed properties:
calculated formation energy: -612 meV/atom
excess energy over the best structure of this formula in the dataset: 0.000 eV/atom
total energy: -5.051 eV per atom